a:
Compound: AcAsH
Source: Alexandria
Functional: PBE
Structure: optimized geometry

Calculated values
symmetry: P-6m2
magnetic moment: 0.00 μB/f.u.

POSCAR file:
```
AcAsH
1.0
4.6293 0.0000 0.0000
0.0000 4.1439 0.0000
0.0000 -2.0719 3.5887
H Ac As
1 1 1
Direct
0.1661 0.0000 0.0000
0.1670 0.3333 0.6667
0.6670 0.6667 0.3333
```

b:
Compound: AcAsH
Source: Alexandria
Functional: PBE
Structure: optimized geometry

Calculated values
symmetry: I4mm
magnetic moment: 0.00 μB/f.u.

POSCAR file:
```
AcAsH
1.0
4.3516 0.0000 0.0000
0.0000 4.3516 0.0000
-2.1758 -2.1758 3.8305
H As Ac
1 1 1
Direct
0.9837 0.9837 0.9674
0.2296 0.2296 0.4593
0.6367 0.6367 0.2733
```

Taking the most stable structure as the zero point, the relative energies in meV per atom are a 0; b 164.

a:
Compound: AcAsH
Source: Alexandria
Functional: PBE
Structure: optimized geometry

Calculated values
symmetry: F-43m
magnetic moment: 0.01 μB/f.u.

POSCAR file:
```
AcAsH
1.0
4.9168 0.0000 0.0000
2.4584 4.2581 0.0000
2.4584 1.4194 4.0146
H As Ac
1 1 1
Direct
0.5000 0.5000 0.5000
0.0000 0.0000 0.0000
0.2500 0.2500 0.2500
```

b:
Compound: AcAsH
Source: Alexandria
Functional: PBE
Structure: optimized geometry

Calculated values
symmetry: Pnma
magnetic moment: 0.00 μB/f.u.

POSCAR file:
```
AcAsH
1.0
7.8410 0.0000 1.3563
0.0000 8.8221 0.0000
-3.3237 0.0000 3.2529
As Ac H
4 4 4
Direct
0.2670 0.1379 0.5171
0.7670 0.3621 0.5171
0.7330 0.8621 0.4829
0.2330 0.6379 0.4829
0.7622 0.1197 0.0122
0.7378 0.6197 0.9878
0.2622 0.3803 0.0122
0.2378 0.8803 0.9878
0.3950 0.4526 0.6453
0.6050 0.5474 0.3547
0.1050 0.9526 0.3547
0.8950 0.0474 0.6453
```

c:
Compound: AcAsH
Source: Alexandria
Functional: PBE
Structure: optimized geometry

Calculated values
symmetry: Fddd
magnetic moment: 0.00 μB/f.u.

POSCAR file:
```
AcAsH
1.0
-5.5130 -2.8538 -1.7198
1.7194 -4.5076 -4.2685
2.5926 -0.4875 7.6774
Ac H As
4 4 4
Direct
0.9948 0.4199 0.4999
0.5802 0.0053 0.5000
0.3300 0.2552 0.9999
0.7447 0.6699 0.0000
0.6511 0.5760 0.2273
0.6739 0.0988 0.2727
0.9013 0.3263 0.7273
0.4239 0.3488 0.7727
0.8753 0.1245 0.9999
0.1254 0.8745 0.4999
0.4495 0.5506 0.5001
0.1995 0.8006 0.0001
```

Taking the most stable structure as the zero point, the relative energies in meV per atom are a 524; b 63; c 0.

a:
Compound: AcAsH2
Source: Alexandria
Functional: PBE
Structure: optimized geometry

Calculated values
symmetry: Fm-3m
magnetic moment: 0.00 μB/f.u.

POSCAR file:
```
AcAsH2
1.0
-4.1951 -0.3534 -1.5133
-0.9528 -2.8630 -3.3029
-2.3831 -3.6884 0.8548
H As Ac
2 1 1
Direct
0.7500 0.7500 0.7500
0.2500 0.2500 0.2500
0.5000 0.5000 0.5000
0.0000 0.0000 0.0000
```

b:
Compound: AcAsH2
Source: Alexandria
Functional: PBE
Structure: optimized geometry

Calculated values
symmetry: R-3m
magnetic moment: 0.00 μB/f.u.

POSCAR file:
```
AcAsH2
1.0
-1.1916 0.7888 4.2729
0.4743 -3.2310 3.1041
3.3421 0.4474 3.2248
H Ac As
2 1 1
Direct
0.3392 0.3392 0.9824
0.6608 0.6608 0.0176
0.0000 0.0000 0.0000
0.5000 0.5000 0.5000
```

Taking the most stable structure as the zero point, the relative energies in meV per atom are a 213; b 0.

a:
Compound: AcHoAs2
Source: Alexandria
Functional: PBE
Structure: optimized geometry

Calculated values
symmetry: R-3m
magnetic moment: 0.00 μB/f.u.

POSCAR file:
```
AcHoAs2
1.0
-2.9004 -1.8418 -2.6323
0.6908 -3.9907 -1.5267
-4.0871 -4.6652 4.2081
As Ac Ho
2 1 1
Direct
0.2581 0.2581 0.2257
0.7419 0.7419 0.7743
0.5000 0.5000 0.5000
0.0000 0.0000 0.0000
```

b:
Compound: AcHoAs2
Source: Alexandria
Functional: PBE
Structure: optimized geometry

Calculated values
symmetry: P4/mmm
magnetic moment: 0.00 μB/f.u.

POSCAR file:
```
AcHoAs2
1.0
-2.4537 1.4260 2.4349
-3.9861 -1.8254 -2.9479
0.0645 -4.5299 2.7179
As Ac Ho
2 1 1
Direct
0.0000 0.0000 0.5000
0.0000 0.5000 0.0000
0.5000 0.5000 0.5000
0.5000 0.0000 0.0000
```

Taking the most stable structure as the zero point, the relative energies in meV per atom are a 0; b 459.

a:
Compound: AcHoAs2
Source: Alexandria
Functional: PBE
Structure: optimized geometry

Calculated values
symmetry: Fm-3m
magnetic moment: 0.00 μB/f.u.

POSCAR file:
```
AcHoAs2
1.0
5.2659 0.0000 0.0000
2.6329 4.5604 0.0000
2.6329 1.5201 4.2996
Ho As Ac
1 2 1
Direct
0.0000 0.0000 0.0000
0.7500 0.7500 0.7500
0.2500 0.2500 0.2500
0.5000 0.5000 0.5000
```

b:
Compound: AcHoAs2
Source: Alexandria
Functional: PBE
Structure: optimized geometry

Calculated values
symmetry: R3m
magnetic moment: 0.00 μB/f.u.

POSCAR file:
```
AcHoAs2
1.0
-3.2169 2.1922 1.7140
-1.5448 -1.1140 3.8033
3.2321 4.8684 5.1174
Ho Ac As
1 1 2
Direct
0.6686 0.6686 0.9943
0.4976 0.4976 0.5072
0.2587 0.2587 0.2238
0.0751 0.0751 0.7747
```

c:
Compound: AcHoAs2
Source: Alexandria
Functional: PBE
Structure: optimized geometry

Calculated values
symmetry: R-3m
magnetic moment: 0.36 μB/f.u.

POSCAR file:
```
AcHoAs2
1.0
4.2822 0.0000 0.0000
2.1411 3.7085 0.0000
2.1411 1.2362 8.8309
Ac As Ho
1 2 1
Direct
0.0000 0.0000 0.0000
0.8883 0.8883 0.3350
0.1117 0.1117 0.6650
0.5000 0.5000 0.5000
```

Taking the most stable structure as the zero point, the relative energies in meV per atom are a 304; b 0; c 839.

a:
Compound: AcAsI
Source: Alexandria
Functional: PBE
Structure: optimized geometry

Calculated values
symmetry: I4mm
magnetic moment: 0.60 μB/f.u.

POSCAR file:
```
AcAsI
1.0
-3.9616 0.5495 1.4501
0.8289 -2.6116 3.2544
3.3650 5.5781 0.8386
I As Ac
1 1 1
Direct
0.0113 0.0113 0.0226
0.2861 0.2861 0.5723
0.7026 0.7026 0.4051
```

b:
Compound: AcAsI
Source: Alexandria
Functional: PBE
Structure: optimized geometry

Calculated values
symmetry: F-43m
magnetic moment: 0.93 μB/f.u.

POSCAR file:
```
AcAsI
1.0
-4.6403 -1.9574 -2.0750
0.0815 -4.4633 -3.1212
-2.0652 -4.6764 1.8804
Ac I As
1 1 1
Direct
0.2500 0.2500 0.2500
0.5000 0.5000 0.5000
0.0000 0.0000 0.0000
```

Taking the most stable structure as the zero point, the relative energies in meV per atom are a 0; b 114.